Material: ErGaRh
Method: DFT, PBE-GGA
State: relaxed

Computed properties:
DFT total energy	-5.880	eV per atom
ΔH_f (0 K)	-899	meV per atom
M_tot	0.00	μB per atom

Cell: 4.460 7.036 7.229 Å, 90.00 90.00 90.00°
Atoms (fractional coordinates):
Rh: 0.250 0.338 0.435
Rh: 0.750 0.662 0.565
Ga: 0.750 0.798 0.895
Er: 0.750 0.485 0.196
Ga: 0.250 0.702 0.395
Er: 0.750 0.985 0.304
Ga: 0.250 0.202 0.105
Rh: 0.250 0.838 0.065
Er: 0.250 0.015 0.696
Er: 0.250 0.515 0.804
Rh: 0.750 0.162 0.935
Ga: 0.750 0.298 0.605

Material: Er3Ga6Rh5
Method: DFT, PBE-GGA
State: relaxed

Computed properties:
DFT total energy	-5.696	eV per atom
ΔH_f (0 K)	-795	meV per atom
M_tot	0.00	μB per atom

Cell: 4.216 9.391 12.334 Å, 90.00 90.00 90.00°
Atoms (fractional coordinates):
Er: 0.000 0.263 0.000
Ga: 0.500 0.020 0.656
Ga: 0.000 0.417 0.500
Ga: 0.500 0.406 0.176
Er: 0.500 0.749 0.199
Rh: 0.500 0.211 0.500
Ga: 0.000 0.980 0.844
Rh: 0.000 0.535 0.117
Er: 0.000 0.251 0.699
Rh: 0.500 0.465 0.383
Rh: 0.500 0.135 0.849
Ga: 0.000 0.594 0.324
Ga: 0.500 0.951 0.000
Ga: 0.500 0.406 0.824
Er: 0.000 0.251 0.301
Ga: 0.500 0.583 0.000
Rh: 0.500 0.465 0.617
Er: 0.500 0.749 0.801
Ga: 0.000 0.049 0.500
Rh: 0.500 0.135 0.151
Ga: 0.500 0.020 0.344
Rh: 0.000 0.789 0.000
Rh: 0.000 0.865 0.651
Rh: 0.000 0.865 0.349
Ga: 0.000 0.594 0.676
Ga: 0.000 0.980 0.156
Er: 0.500 0.737 0.500
Rh: 0.000 0.535 0.883

Material: Er2Ga5Rh4
Method: DFT, PBE-GGA
State: relaxed

Computed properties:
DFT total energy	-5.581	eV per atom
ΔH_f (0 K)	-702	meV per atom
M_tot	0.00	μB per atom

Cell: 5.301 5.428 8.331 Å, 81.06 71.45 60.77°
Atoms (fractional coordinates):
Rh: 0.470 0.314 0.746
Rh: 0.784 0.686 0.746
Ga: 0.500 0.500 0.000
Ga: 0.000 0.500 0.000
Rh: 0.530 0.686 0.254
Ga: 0.500 0.000 0.000
Ga: 0.250 0.500 0.500
Er: 0.153 0.000 0.694
Rh: 0.216 0.314 0.254
Ga: 0.750 0.500 0.500
Er: 0.847 0.000 0.306

Material: Er3GaRh8
Method: DFT, PBE-GGA
State: relaxed

Computed properties:
DFT total energy	-6.905	eV per atom
ΔH_f (0 K)	-611	meV per atom
M_tot	0.00	μB per atom

Cell: 5.264 5.264 9.160 Å, 73.30 73.30 60.00°
Atoms (fractional coordinates):
Rh: 0.560 0.062 0.316
Rh: 0.562 0.062 0.813
Er: 0.007 0.007 0.978
Rh: 0.562 0.562 0.813
Rh: 0.062 0.062 0.316
Rh: 0.062 0.562 0.813
Rh: 0.312 0.312 0.065
Er: 0.495 0.495 0.516
Er: 0.624 0.624 0.128
Ga: 0.130 0.130 0.609
Rh: 0.811 0.811 0.567
Rh: 0.062 0.560 0.316

Material: ErGa3Rh3
Method: DFT, PBE-GGA
State: relaxed

Computed properties:
DFT total energy	-5.246	eV per atom
ΔH_f (0 K)	-146	meV per atom
M_tot	0.00	μB per atom

Cell: 6.677 6.677 6.677 Å, 90.00 90.00 90.00°
Atoms (fractional coordinates):
Er: 0.000 0.000 0.000
Rh: 0.000 0.500 0.750
Er: 0.500 0.500 0.500
Ga: 0.000 0.250 0.500
Ga: 0.250 0.500 0.000
Ga: 0.500 0.000 0.750
Ga: 0.500 0.000 0.250
Rh: 0.000 0.500 0.250
Ga: 0.000 0.750 0.500
Rh: 0.500 0.250 0.000
Rh: 0.250 0.000 0.500
Rh: 0.750 0.000 0.500
Rh: 0.500 0.750 0.000
Ga: 0.750 0.500 0.000

Material: ErGaRh3
Method: DFT, PBE-GGA
State: relaxed

Computed properties:
DFT total energy	-6.515	eV per atom
ΔH_f (0 K)	-586	meV per atom
M_tot	0.00	μB per atom

Cell: 6.301 6.301 6.301 Å, 107.16 129.08 94.28°
Atoms (fractional coordinates):
Rh: 0.000 0.305 0.805
Ga: 0.500 0.500 0.000
Er: 0.993 0.743 0.750
Rh: 0.693 0.943 0.250
Rh: 0.000 0.695 0.195
Rh: 0.307 0.057 0.750
Ga: 0.500 0.000 0.500
Rh: 0.500 0.305 0.305
Er: 0.007 0.257 0.250
Rh: 0.500 0.695 0.695

Material: ErGa3Rh2
Method: DFT, PBE-GGA
State: relaxed

Computed properties:
DFT total energy	-5.279	eV per atom
ΔH_f (0 K)	-555	meV per atom
M_tot	0.00	μB per atom

Cell: 5.952 5.952 7.596 Å, 66.93 66.93 60.00°
Atoms (fractional coordinates):
Ga: 0.265 0.754 0.716
Er: 0.783 0.783 0.650
Rh: 0.000 0.000 0.000
Ga: 0.735 0.735 0.284
Rh: 0.500 0.500 0.000
Er: 0.217 0.217 0.350
Rh: 0.000 0.500 0.000
Ga: 0.754 0.265 0.716
Ga: 0.246 0.735 0.284
Rh: 0.500 0.000 0.000
Ga: 0.265 0.265 0.716
Ga: 0.735 0.246 0.284

Material: Er2Ga5Rh3
Method: DFT, PBE-GGA
State: relaxed

Computed properties:
DFT total energy	-5.380	eV per atom
ΔH_f (0 K)	-749	meV per atom
M_tot	0.00	μB per atom
energy relative to the lowest polymorph listed for this composition	4.78	kJ/mol of atoms

Cell: 4.279 6.787 12.358 Å, 90.00 99.97 90.00°
Atoms (fractional coordinates):
Rh: 0.229 0.190 0.457
Ga: 0.295 0.892 0.589
Rh: 0.608 0.531 0.216
Ga: 0.052 0.604 0.104
Ga: 0.126 0.263 0.251
Rh: 0.392 0.031 0.784
Ga: 0.398 0.413 0.797
Ga: 0.948 0.104 0.896
Er: 0.478 0.778 0.957
Ga: 0.602 0.913 0.203
Ga: 0.874 0.763 0.749
Ga: 0.709 0.996 0.419
Er: 0.176 0.707 0.352
Rh: 0.950 0.492 0.901
Rh: 0.771 0.690 0.543
Er: 0.824 0.207 0.648
Rh: 0.050 0.992 0.099
Er: 0.522 0.278 0.043
Ga: 0.291 0.496 0.581
Ga: 0.705 0.392 0.411

Material: Er3GaRh4
Method: DFT, PBE-GGA
State: relaxed

Computed properties:
DFT total energy	-6.625	eV per atom
ΔH_f (0 K)	-859	meV per atom
M_tot	0.00	μB per atom

Cell: 4.627 6.737 9.253 Å, 90.00 90.00 90.00°
Atoms (fractional coordinates):
Er: 0.500 0.000 0.750
Rh: 0.500 0.259 0.000
Ga: 0.000 0.500 0.500
Rh: 0.000 0.741 0.250
Er: 0.500 0.500 0.750
Er: 0.500 0.000 0.250
Rh: 0.500 0.741 0.000
Er: 0.000 0.000 0.500
Rh: 0.500 0.741 0.500
Er: 0.500 0.500 0.250
Rh: 0.000 0.741 0.750
Rh: 0.000 0.259 0.250
Rh: 0.500 0.259 0.500
Rh: 0.000 0.259 0.750
Ga: 0.000 0.500 0.000
Er: 0.000 0.000 0.000

Material: Er8GaRh2
Method: DFT, PBE-GGA
State: relaxed

Computed properties:
DFT total energy	-5.320	eV per atom
ΔH_f (0 K)	-389	meV per atom
M_tot	0.00	μB per atom

Cell: 5.430 7.780 7.780 Å, 113.70 98.39 98.39°
Atoms (fractional coordinates):
Ga: 0.026 0.003 0.003
Er: 0.998 0.238 0.765
Er: 0.579 0.078 0.334
Er: 0.411 0.672 0.928
Rh: 0.499 0.697 0.309
Rh: 0.499 0.309 0.697
Er: 0.808 0.625 0.625
Er: 0.190 0.384 0.384
Er: 0.579 0.334 0.078
Er: 0.411 0.928 0.672
Er: 0.998 0.765 0.238

Material: Er2GaRh
Method: DFT, PBE-GGA
State: relaxed

Computed properties:
DFT total energy	-4.936	eV per atom
ΔH_f (0 K)	-60	meV per atom
M_tot	0.00	μB per atom

Cell: 3.293 3.293 9.880 Å, 80.41 80.41 60.00°
Atoms (fractional coordinates):
Er: 0.913 0.913 0.261
Ga: 0.500 0.500 0.500
Er: 0.087 0.087 0.739
Rh: 0.000 0.000 0.000

Material: Er2Ga9Rh3
Method: DFT, PBE-GGA
State: relaxed

Computed properties:
DFT total energy	-4.874	eV per atom
ΔH_f (0 K)	-701	meV per atom
M_tot	0.00	μB per atom

Cell: 7.556 7.556 10.449 Å, 90.01 111.07 120.18°
Atoms (fractional coordinates):
Er: 0.999 0.586 0.751
Ga: 0.670 0.710 0.752
Rh: 0.500 0.000 0.000
Ga: 0.446 0.639 0.920
Ga: 0.219 0.693 0.079
Ga: 0.880 0.130 0.750
Ga: 0.781 0.307 0.921
Ga: 0.454 0.809 0.433
Rh: 0.158 0.829 0.501
Ga: 0.546 0.191 0.567
Ga: 0.458 0.918 0.748
Ga: 0.887 0.861 0.579
Ga: 0.120 0.870 0.250
Ga: 0.554 0.361 0.080
Ga: 0.876 0.021 0.067
Rh: 0.500 0.500 0.500
Er: 0.001 0.414 0.249
Ga: 0.124 0.979 0.933
Rh: 0.172 0.343 0.001
Er: 0.665 0.752 0.251
Ga: 0.219 0.525 0.580
Ga: 0.542 0.082 0.252
Ga: 0.781 0.475 0.420
Ga: 0.330 0.290 0.248
Rh: 0.828 0.657 0.999
Rh: 0.842 0.171 0.499
Er: 0.335 0.248 0.749
Ga: 0.113 0.139 0.421